Below is a relaxed MnTcCl2 crystal, with properties calculated at the GGA-PBE level.

Size of the total moment ... 0.00 μB/atom
Formation energy (no corrections) ... 0.95 eV/atom
Density of states at the Fermi level ... 4.39 states/eV/cell
Calculated density ... 6.8 Mg/m³

POSCAR file:
```
MnTcCl2
1.0
1.0367 -3.8965 -1.3512
-0.3650 -3.3271 2.6230
-3.0388 -2.9014 -0.6560
Cl Tc Mn
2 1 1
Direct
0.2500 0.2500 0.2500
0.7500 0.7500 0.7500
0.5000 0.5000 0.5000
0.0000 0.0000 0.0000
```

***

Below is a relaxed LiBiBr2 crystal, with properties calculated at the GGA-PBE level.

Size of the total moment ... 0.00 μB/atom
Formation energy (no corrections) ... -0.76 eV/atom
Density of states at the Fermi level ... 0.80 states/eV/cell
Calculated density ... 6.3 Mg/m³

POSCAR file:
```
LiBiBr2
1.0
2.1216 0.0000 8.5048
-1.0608 1.8373 8.5048
-1.0608 -1.8373 8.5048
Bi Br Li
1 2 1
Direct
0.0000 0.0000 0.0000
0.2306 0.2306 0.2306
0.7694 0.7694 0.7694
0.5000 0.5000 0.5000
```

***

Below is a relaxed TmMgCdIn crystal, with properties calculated at the GGA-PBE level.

Size of the total moment ... 0.00 μB/atom
Density of states at the Fermi level ... 1.05 states/eV/cell
DFT formation energy ... -291 meV/atom
Calculated density ... 7.4 Mg/m³

POSCAR file:
```
TmMgCdIn
1.0
5.1124 0.0000 0.0000
2.5562 4.4275 0.0000
2.5562 1.4758 4.1743
Tm In Cd Mg
1 1 1 1
Direct
0.5000 0.5000 0.5000
0.2500 0.2500 0.2500
0.7500 0.7500 0.7500
0.0000 0.0000 0.0000
```

***

Number 1: final energy -4.854 eV per atom. Number 2: final energy -3.044 eV per atom. Number 3: final energy -2.721 eV per atom.